1.
Computed, not measured: a relaxed Ga3PdPt2 crystal at the PBE level of DFT.

Properties
* DOS(E_F): 9.61 states/eV per cell
* volume: 16.87 Å³/atom
* ΔE_f: -2.1 eV per formula unit

Cell lengths 7.5414, 10.8206, 4.9628 Å; angles 90.00, 90.00, 90.00 degrees
Space group Imma (No. 74)
Inequivalent atoms, fractional coordinates:
Ga 0.1792 0.0000 0.0000 (multiplicity 8)
Ga 0.2500 0.2500 0.2500 (multiplicity 4)
Pd 0.0000 0.2500 0.8682 (multiplicity 4)
Pt 0.0000 0.1106 0.3797 (multiplicity 8)

---

2.
Computed, not measured: a relaxed Ga2Pd3Pt3 crystal at the PBE level of DFT.

Properties
* DOS(E_F): 8.01 states/eV per cell
* energy above the most stable polymorph in this dataset: 0.0000 eV per atom
* volume: 15.21 Å³/atom
* ΔE_f: -3.6 eV per formula unit

Cell lengths 3.9187, 3.9305, 7.8998 Å; angles 90.00, 90.00, 90.00 degrees
Space group Pmmm (No. 47)
Inequivalent atoms, fractional coordinates:
Ga 0.0000 0.0000 0.2485 (multiplicity 2)
Pd 0.0000 0.5000 0.0000 (multiplicity 1)
Pd 0.0000 0.5000 0.5000 (multiplicity 1)
Pd 0.5000 0.0000 0.0000 (multiplicity 1)
Pt 0.5000 0.0000 0.5000 (multiplicity 1)
Pt 0.5000 0.5000 0.2500 (multiplicity 2)

---

3.
Computed, not measured: a relaxed Ga2Pd7Pt2 crystal at the PBE level of DFT.

Properties
* DOS(E_F): 19.32 states/eV per cell
* energy above the most stable polymorph in this dataset: 0.0000 eV per atom
* volume: 15.58 Å³/atom
* ΔE_f: -3.7 eV per formula unit

Cell lengths 4.0562, 12.0501, 7.0139 Å; angles 90.00, 90.00, 90.00 degrees
Space group Imm2 (No. 44)
Inequivalent atoms, fractional coordinates:
Ga 0.0000 0.1890 0.0000 (multiplicity 4)
Pd 0.0000 0.0000 0.8045 (multiplicity 2)
Pd 0.0000 0.1534 0.5000 (multiplicity 4)
Pd 0.0000 0.3404 0.2768 (multiplicity 4)
Pd 0.0000 0.3413 0.7218 (multiplicity 4)
Pt 0.0000 0.0000 0.2009 (multiplicity 2)
Pt 0.0000 0.5000 0.9998 (multiplicity 2)